Entry from the Alexandria database: TbPr2Ga2 after structural relaxation (PBE).

Structure (POSCAR):
```
TbPr2Ga2
1.0
4.715 0.000 0.000
0.000 6.671 0.000
0.000 0.000 8.745
Tb Pr Ga
2 4 4
direct
0.000 0.000 0.000
0.500 0.500 0.500
0.000 0.500 0.200
0.000 0.500 0.800
0.500 0.000 0.300
0.500 0.000 0.700
0.000 0.202 0.500
0.000 0.798 0.500
0.500 0.298 0.000
0.500 0.702 0.000
```

**Spin magnetization**: 0.00 μB per formula unit
**Formation energy from the elements**: -474 meV per atom
**Energy relative to the lowest polymorph listed for this composition**: 0 meV per atom
**Symmetry**: Immm
**E**: -4.5225 eV per atom

---

Entry from the Alexandria database: NaAc2Er after structural relaxation (PBE).

Structure (POSCAR):
```
NaAc2Er
1.0
3.798 0.000 0.000
-1.899 3.289 0.000
0.000 0.000 39.961
Na Ac Er
3 6 3
direct
0.000 0.000 0.000
0.333 0.667 0.667
0.667 0.333 0.333
0.000 0.000 0.093
0.000 0.000 0.907
0.333 0.667 0.574
0.333 0.667 0.759
0.667 0.333 0.241
0.667 0.333 0.426
0.000 0.000 0.500
0.333 0.667 0.167
0.667 0.333 0.833
```

**Spin magnetization**: 0.00 μB per formula unit
**Formation energy from the elements**: 152 meV per atom
**Energy relative to the lowest polymorph listed for this composition**: 29 meV per atom
**Symmetry**: R-3m
**E**: -3.3725 eV per atom